No. 1
{"formula": "SrHfO3", "functional": "GGA-PBEsol", "state": "optimized geometry", "dos_ef_per_ev_atom": 0.0000, "volume_a3_per_cell": 134.8, "space_group": "No. 127", "magmom_total_mub_per_cell": 0.00, "formation_energy_uncorrected_kj_per_mol_atoms": -331, "cell": [[5.714, 0.000, 0.000], [0.000, 5.714, 0.000], [0.000, 0.000, 4.128]], "species": ["Sr", "Sr", "Hf", "Hf", "O", "O", "O", "O", "O", "O"], "frac_coords": [[0.000, 0.500, 0.000], [0.500, 0.000, 0.000], [0.000, 0.000, 0.500], [0.500, 0.500, 0.500], [0.000, 0.000, 0.000], [0.198, 0.302, 0.500], [0.302, 0.802, 0.500], [0.500, 0.500, 0.000], [0.698, 0.198, 0.500], [0.802, 0.698, 0.500]]}

No. 2
{"formula": "SrHfO3", "functional": "GGA-PBEsol", "state": "optimized geometry", "dos_ef_per_ev_atom": 0.0000, "volume_a3_per_cell": 68.7, "space_group": "No. 221", "magmom_total_mub_per_cell": 0.00, "formation_energy_uncorrected_kj_per_mol_atoms": -329, "cell": [[4.096, 0.000, 0.000], [0.000, 4.096, 0.000], [0.000, 0.000, 4.096]], "species": ["Sr", "Hf", "O", "O", "O"], "frac_coords": [[0.000, 0.000, 0.000], [0.500, 0.500, 0.500], [0.000, 0.500, 0.500], [0.500, 0.000, 0.500], [0.500, 0.500, 0.000]]}